Entry 1:
The following is a GGA-PBE calculation of an optimized crystal structure of Tm2Th2Al4Zn, from Alexandria.

## Properties
Crystal system   tetragonal
Energy of formation   -123 meV/atom
DFT total energy   -4.57 eV/atom

```
Tm2Th2Al4Zn
1.0
-2.257 1.356 6.090
6.392 -1.693 -0.542
0.354 5.055 -4.283
Tm Th Al Zn
2 2 4 1
Direct
0.000 0.694 0.694
0.000 0.306 0.306
0.500 0.750 0.250
0.500 0.250 0.750
0.000 0.752 0.248
0.504 0.752 0.752
0.000 0.248 0.752
0.496 0.248 0.248
0.000 0.000 0.000
```

=====

Entry 2:
The following is a GGA-PBE calculation of an optimized crystal structure of ThUAl4, from Alexandria.

## Properties
Crystal system   cubic
Energy of formation   -241 meV/atom
DFT total energy   -5.85 eV/atom

```
ThUAl4
1.0
-2.737 -1.530 4.616
-0.610 -5.411 1.217
2.790 -2.227 4.289
U Al Th
1 4 1
Direct
0.000 0.000 0.000
0.626 0.626 0.123
0.626 0.123 0.626
0.626 0.626 0.626
0.123 0.626 0.626
0.250 0.250 0.250
```

=====

Entry 3:
The following is a GGA-PBE calculation of an optimized crystal structure of ThUAl6, from Alexandria.

## Properties
Crystal system   hexagonal
Energy of formation   -243 meV/atom
DFT total energy   -5.39 eV/atom

```
ThUAl6
1.0
-0.333 -0.779 6.322
0.203 -5.093 -3.834
4.619 0.001 0.243
Th U Al
1 1 6
Direct
0.667 0.333 0.000
0.000 0.000 0.500
0.186 0.814 0.000
0.186 0.372 0.000
0.628 0.814 0.000
0.477 0.523 0.500
0.477 0.953 0.500
0.047 0.523 0.500
```